Material: TmScTc
Method: DFT, PBE-GGA
State: optimized geometry

a = 4.602 Å, b = 4.602 Å, c = 4.602 Å
α = 60.00°, β = 60.00°, γ = 60.00°
Element x y z (fractional)
Tm 0.000 0.000 0.000
Sc 0.750 0.750 0.750
Tc 0.250 0.250 0.250

* crystal system: cubic
* relative energy among the computed polymorphs: 160.4 meV per atom
* calculated formation energy: 0.93 eV/atom
* spin magnetization: 0.02 μB per cell